Computed, not measured: a crystal of TiReO2 relaxed with PBEsol at the SCAN level of DFT.

Unit cell a=5.4177 b=5.4177 c=5.4177 alpha=90.00 beta=90.00 gamma=90.00
Last column: nearest neighbours and their distance in Å.
Space group Fm-3m (No. 225)
Unique sites:
Ti  0.0000  0.0000  0.0000 x4  8 O 2.35
Re  0.0000  0.0000  0.5000 x4  8 O 2.35
O  0.2500  0.2500  0.2500 x8  4 Re 2.35, 4 Ti 2.35

Formation energy (no corrections) (eV/atom): -0.5334